A relaxed structure of AcSm9Th2. Source: the Alexandria database, functional PBE-GGA.

Geometry as POSCAR:
```
AcSm9Th2
1.0
-2.049 -3.166 -3.510
-0.202 -3.763 3.512
-14.197 4.614 4.126
Sm Th Ac
9 2 1
Direct
0.500 0.500 0.664
0.000 0.500 0.500
0.500 0.500 0.000
0.500 0.000 0.825
0.500 0.000 0.175
0.000 0.500 0.825
0.000 0.500 0.175
0.500 0.500 0.336
0.500 0.000 0.500
0.000 0.000 0.336
0.000 0.000 0.664
0.000 0.000 0.000
```

Values from the calculation:
DOS at the Fermi energy: 14.6 states/eV per cell
ΔH_f (0 K): 49 kJ/mol of formula units

---

A relaxed structure of Sr3Ga2Cu9. Source: the Alexandria database, functional PBE-GGA.

Geometry as POSCAR:
```
Sr3Ga2Cu9
1.0
4.225 0.000 0.000
2.112 8.064 -0.090
2.112 1.740 7.875
Cu Ga Sr
9 2 3
Direct
0.695 0.599 0.010
0.000 0.500 0.500
0.305 0.990 0.401
0.305 0.401 0.990
0.894 0.391 0.821
0.106 0.179 0.609
0.106 0.609 0.179
0.695 0.010 0.599
0.894 0.821 0.391
0.500 0.274 0.726
0.500 0.726 0.274
0.697 0.303 0.303
0.303 0.697 0.697
0.000 0.000 0.000
```

Values from the calculation:
DOS at the Fermi energy: 6.0 states/eV per cell
ΔH_f (0 K): -166 kJ/mol of formula units

---

A relaxed structure of NdHoCdAu. Source: the Alexandria database, functional PBE-GGA.

Geometry as POSCAR:
```
NdHoCdAu
1.0
5.259 0.000 0.000
2.630 4.555 0.000
2.630 1.518 4.294
Ho Au Cd Nd
1 1 1 1
Direct
0.500 0.500 0.500
0.250 0.250 0.250
0.750 0.750 0.750
0.000 0.000 0.000
```

Values from the calculation:
DOS at the Fermi energy: 2.9 states/eV per cell
ΔH_f (0 K): -204 kJ/mol of formula units

---

A relaxed structure of SrTaAg. Source: the Alexandria database, functional PBE-GGA.

Geometry as POSCAR:
```
SrTaAg
1.0
8.387 -0.012 0.001
-2.045 5.744 0.013
0.001 -0.939 3.133
Sr Ta Ag
2 2 2
Direct
0.893 0.776 0.703
0.626 0.142 0.388
0.272 0.702 0.667
0.456 0.537 0.084
0.022 0.357 0.995
0.243 0.122 0.376
```

Values from the calculation:
DOS at the Fermi energy: 5.7 states/eV per cell
ΔH_f (0 K): 133 kJ/mol of formula units

---

A relaxed structure of CaAl2SiPd4. Source: the Alexandria database, functional PBE-GGA.

Geometry as POSCAR:
```
CaAl2SiPd4
1.0
4.313 0.000 0.000
2.156 3.735 0.000
2.156 1.245 8.568
Pd Si Al Ca
4 1 2 1
Direct
0.137 0.137 0.590
0.593 0.593 0.221
0.407 0.407 0.779
0.863 0.863 0.410
0.500 0.500 0.500
0.758 0.758 0.727
0.242 0.242 0.273
0.000 0.000 0.000
```

Values from the calculation:
DOS at the Fermi energy: 2.5 states/eV per cell
E_form (uncorrected): -0.7229 eV/atom

---

A relaxed structure of Pr4ThIn5. Source: the Alexandria database, functional PBE-GGA.

Geometry as POSCAR:
```
Pr4ThIn5
1.0
3.627 0.000 0.000
0.000 3.627 0.000
0.000 0.000 22.276
In Th Pr
5 1 4
Direct
0.500 0.500 0.500
0.500 0.500 0.300
0.500 0.500 0.900
0.500 0.500 0.700
0.500 0.500 0.100
0.000 0.000 0.000
0.000 0.000 0.201
0.000 0.000 0.600
0.000 0.000 0.799
0.000 0.000 0.400
```

Values from the calculation:
DOS at the Fermi energy: 8.4 states/eV per cell
ΔH_f (0 K): -424 kJ/mol of formula units

---

A relaxed structure of HI2Br. Source: the Alexandria database, functional PBE-GGA.

Geometry as POSCAR:
```
HI2Br
1.0
-2.899 3.173 3.964
-2.608 -4.456 -2.744
4.302 -2.522 3.056
I H Br
2 1 1
Direct
0.000 0.000 0.000
0.500 0.500 0.000
0.750 0.250 0.500
0.250 0.750 0.500
```

Values from the calculation:
DOS at the Fermi energy: 4.0 states/eV per cell
E: -1.23 eV/atom

---

A relaxed structure of LaDy2Pt9. Source: the Alexandria database, functional PBE-GGA.

Geometry as POSCAR:
```
LaDy2Pt9
1.0
-0.733 5.384 0.383
-2.008 2.156 4.582
7.299 3.406 4.834
Dy Pt La
2 9 1
Direct
0.140 0.140 0.579
0.860 0.860 0.421
0.500 0.500 0.500
0.919 0.411 0.258
0.411 0.919 0.258
0.333 0.333 0.001
0.411 0.411 0.258
0.667 0.667 0.999
0.589 0.081 0.742
0.081 0.589 0.742
0.589 0.589 0.742
0.000 0.000 0.000
```

Values from the calculation:
DOS at the Fermi energy: 8.7 states/eV per cell
ΔH_f (0 K): -1136 kJ/mol of formula units